First-principles (PBE) data for a relaxed structure of URhPbS4, as listed in Alexandria via LeMat-Bulk.

Lattice parameters (Å, degrees): 6.549 5.765 8.318 90.00 106.58 90.00
Each line ends with the local moment (μB).
Positions (direct):
U 0.750 0.750 0.447  1.08
U 0.250 0.250 0.553  1.08
Rh 0.233 0.750 0.355  -0.13
Rh 0.767 0.250 0.645  -0.13
Pb 0.722 0.750 0.958  -0.01
Pb 0.278 0.250 0.042  -0.01
S 0.035 0.513 0.720  -0.03
S 0.965 0.013 0.280  -0.03
S 0.965 0.487 0.280  -0.03
S 0.035 0.987 0.720  -0.03
S 0.436 0.750 0.150  -0.03
S 0.564 0.250 0.850  -0.03
S 0.463 0.750 0.615  -0.05
S 0.537 0.250 0.385  -0.05

Summary:
- uncorrected energy (eV/atom) = -6.282
- ΔE_f (raw) (eV per formula unit) = -5.119
- SG = No. 11

***

First-principles (PBE) data for a relaxed structure of BaScCd11, as listed in Alexandria via LeMat-Bulk.

Lattice parameters (Å, degrees): 6.100 7.886 7.815 81.67 67.03 68.20
Positions (direct):
Ba 0.000 0.000 0.000
Sc 0.500 0.500 0.000
Cd 0.282 0.220 0.223
Cd 0.718 0.780 0.777
Cd 0.495 0.780 0.223
Cd 0.505 0.220 0.777
Cd 0.363 0.645 0.651
Cd 0.637 0.355 0.349
Cd 0.986 0.355 0.651
Cd 0.014 0.645 0.349
Cd 0.000 0.500 0.000
Cd 0.500 0.000 0.500
Cd 0.000 0.000 0.500

Summary:
- uncorrected energy (eV/atom) = -1.571
- SG = No. 12
- E_form (meV/atom) = -162.0